This record from the Alexandria database describes a geometry-optimized K2CaNiF6 structure. The functional is PBE with a Hubbard U.

Unit cell a=6.0182 b=6.0257 c=8.5160 alpha=90.00 beta=90.00 gamma=90.00
Sites, in units of the cell vectors:
F: 0.7617 0.9883 0.0000
F: 0.5000 0.2498 0.7381
F: 0.2383 0.9883 0.0000
F: 0.2616 0.4878 0.5000
F: 0.2617 0.0117 0.5000
F: 0.2384 0.5122 0.0000
F: 0.0000 0.7502 0.2381
F: 0.7383 0.0117 0.5000
F: 0.5000 0.2498 0.2619
F: 0.0000 0.7502 0.7619
F: 0.7616 0.5122 0.0000
F: 0.7384 0.4878 0.5000
K: 0.5000 0.7502 0.2497
K: 0.0000 0.2498 0.7497
K: 0.0000 0.2498 0.2503
K: 0.5000 0.7502 0.7503
Ca: 0.5000 0.2502 0.0000
Ca: 0.0000 0.7498 0.5000
Ni: 0.5000 0.2498 0.5000
Ni: 0.0000 0.7502 0.0000

Computed properties:
E_tot in eV per atom: -4.77